Record 1
An optimized crystal structure of ZnF4. Source: the Alexandria database, functional PBE.

abc: 10.774 5.766 5.457
angles: 90.00 97.25 90.00
Space group C2/m (No. 12)
Inequivalent atoms, fractional coordinates:
Zn  0.204  0.000  0.471
F  0.025  0.000  0.332
F  0.067  0.500  0.025
F  0.226  0.251  0.716

Volume   336.28 Å³/cell
Formation energy from raw total energies   -6.253 eV/f.u.


Record 2
An optimized crystal structure of ZnF4. Source: the Alexandria database, functional PBE.

abc: 3.945 3.945 3.945
angles: 90.00 90.00 90.00
Space group Pm-3m (No. 221)
Inequivalent atoms, fractional coordinates:
Zn  0.000  0.000  0.000
F  0.000  0.000  0.500
F  0.500  0.500  0.500

Volume   61.40 Å³/cell
Formation energy from raw total energies   -5.509 eV/f.u.


Record 3
An optimized crystal structure of ZrZn3F. Source: the Alexandria database, functional PBE.

abc: 5.461 5.461 5.461
angles: 90.00 90.00 90.00
Space group Pm-3m (No. 221)
Inequivalent atoms, fractional coordinates:
Zr  0.000  0.000  0.000
Zn  0.000  0.000  0.500
F  0.500  0.500  0.500

Volume   162.87 Å³/cell
Formation energy from raw total energies   3.207 eV/f.u.